# SrRu2Br

An optimized crystal structure of SrRu2Br (PBE, the Alexandria database).

a b c (Å): 3.3591 3.3711 8.1426
angles (deg): 78.14 90.00 90.00
With the nearest neighbours (Å) after each atom.
Element x y z (fractional)
Sr (0.0000, 0.5686, 0.4893)  4 Br 3.08, 5 Ru 3.26-3.34, 4 Sr 3.36-3.37
Br (0.5000, 0.9463, 0.7349)  4 Sr 3.08, 2 Ru 3.23, 4 Br 3.36-3.37
Ru (0.0000, 0.7709, 0.0807)  4 Ru 2.55
Ru (0.5000, 0.2142, 0.1951)  4 Ru 2.55

Calculated values
Raw formation energy = 0.070 eV/atom
Energy relative to the lowest polymorph listed for this composition = 175.0 meV/atom
VASP energy = -21.63 eV per formula unit
Size of the total moment = 0.00 Bohr magnetons per cell
Calculated volume = 90 Å³ per cell

# SrRu2Br

An optimized crystal structure of SrRu2Br (PBE, the Alexandria database).

a b c (Å): 6.4327 6.4327 6.4327
angles (deg): 145.01 145.01 50.31
With the nearest neighbours (Å) after each atom.
Element x y z (fractional)
Ru (0.0000, 0.0000, 0.0000)  4 Ru 2.73
Ru (0.5000, 0.5000, 0.0000)  4 Ru 2.73
Sr (0.2500, 0.7500, 0.5000)  4 Br 2.73
Br (0.7500, 0.2500, 0.5000)  4 Sr 2.73

Calculated values
Raw formation energy = 0.534 eV/atom
Energy relative to the lowest polymorph listed for this composition = 638.9 meV/atom
VASP energy = -19.77 eV per formula unit
Size of the total moment = 0.00 Bohr magnetons per cell
Calculated volume = 87 Å³ per cell

# SrRu2Br

An optimized crystal structure of SrRu2Br (PBE, the Alexandria database).

a b c (Å): 9.1291 9.1291 9.1291
angles (deg): 20.20 20.20 20.20
With the nearest neighbours (Å) after each atom.
Element x y z (fractional)
Sr (0.2500, 0.2500, 0.2500)  6 Ru 3.12, 6 Sr 3.20
Ru (0.0102, 0.0102, 0.0102)  3 Br 2.69
Ru (0.4898, 0.4898, 0.4898)  3 Br 2.69
Br (0.7500, 0.7500, 0.7500)  6 Ru 2.69

Calculated values
Raw formation energy = 1.023 eV/atom
Energy relative to the lowest polymorph listed for this composition = 1128.5 meV/atom
VASP energy = -17.81 eV per formula unit
Size of the total moment = 0.80 Bohr magnetons per cell
Calculated volume = 79 Å³ per cell